# Li3U2TlSe6 PBE optimized geometry
data_Li3U2TlSe6
_symmetry_space_group_name_H-M 'C 1 2/m 1'
_symmetry_Int_Tables_number 12
_symmetry_space_group_name_Hall '-C 2y'
_cell_length_a 16.773
_cell_length_b 4.127
_cell_length_c 9.384
_cell_angle_alpha 90.00
_cell_angle_beta 99.07
_cell_angle_gamma 90.00
loop_
_atom_site_label
_atom_site_type_symbol
_atom_site_fract_x
_atom_site_fract_y
_atom_site_fract_z
_atom_site_occupancy
Li1 Li 0.000 0.000 0.000 1
Li2 Li 0.154 0.500 0.238 1
U1 U 0.165 0.500 0.838 1
Tl1 Tl 0.000 0.000 0.500 1
Se1 Se 0.003 0.500 0.781 1
Se2 Se 0.163 0.000 0.056 1
Se3 Se 0.192 0.000 0.649 1
# - total DFT energy (no corrections) (eV per atom) = -5.37
# - density (g/cm³) = 6.084
# - DOS at the Fermi energy (states/eV/atom) = 1.092

# Li2UTl3Se6 PBE optimized geometry
data_Li2UTl3Se6
_symmetry_space_group_name_H-M 'C 1 2/m 1'
_symmetry_Int_Tables_number 12
_symmetry_space_group_name_Hall '-C 2y'
_cell_length_a 7.069
_cell_length_b 12.337
_cell_length_c 7.685
_cell_angle_alpha 90.00
_cell_angle_beta 107.82
_cell_angle_gamma 90.00
loop_
_atom_site_label
_atom_site_type_symbol
_atom_site_fract_x
_atom_site_fract_y
_atom_site_fract_z
_atom_site_occupancy
Li1 Li 0.000 0.165 0.000 1
U1 U 0.000 0.500 0.000 1
Tl1 Tl 0.000 0.000 0.500 1
Tl2 Tl 0.000 0.334 0.500 1
Se1 Se 0.229 0.341 0.203 1
Se2 Se 0.248 0.500 0.790 1
# - total DFT energy (no corrections) (eV per atom) = -4.36
# - density (g/cm³) = 6.969
# - DOS at the Fermi energy (states/eV/atom) = 0.817

# LiYTl2Se PBE optimized geometry
data_LiYTl2Se
_symmetry_space_group_name_H-M 'P 4/m m m'
_symmetry_Int_Tables_number 123
_symmetry_space_group_name_Hall '-P 4 2'
_cell_length_a 6.086
_cell_length_b 6.086
_cell_length_c 5.359
_cell_angle_alpha 90.00
_cell_angle_beta 90.00
_cell_angle_gamma 90.00
loop_
_atom_site_label
_atom_site_type_symbol
_atom_site_fract_x
_atom_site_fract_y
_atom_site_fract_z
_atom_site_occupancy
Li1 Li 0.000 0.000 0.000 1
Y1 Y 0.500 0.500 0.500 1
Tl1 Tl 0.000 0.500 0.500 1
Se1 Se 0.500 0.500 0.000 1
# - total DFT energy (no corrections) (eV per atom) = -3.40
# - density (g/cm³) = 4.882
# - DOS at the Fermi energy (states/eV/atom) = 0.874

# LiTlZnSe2 PBE optimized geometry
data_LiTlZnSe2
_symmetry_space_group_name_H-M 'C 1 2/m 1'
_symmetry_Int_Tables_number 12
_symmetry_space_group_name_Hall '-C 2y'
_cell_length_a 13.699
_cell_length_b 4.203
_cell_length_c 10.656
_cell_angle_alpha 90.00
_cell_angle_beta 125.92
_cell_angle_gamma 90.00
loop_
_atom_site_label
_atom_site_type_symbol
_atom_site_fract_x
_atom_site_fract_y
_atom_site_fract_z
_atom_site_occupancy
Li1 Li 0.144 0.000 0.425 1
Tl1 Tl 0.175 0.500 0.129 1
Zn1 Zn 0.045 0.500 0.680 1
Se1 Se 0.072 0.000 0.828 1
Se2 Se 0.167 0.500 0.575 1
# - total DFT energy (no corrections) (eV per atom) = -3.26
# - density (g/cm³) = 5.810
# - DOS at the Fermi energy (states/eV/atom) = 0.000

# LiZr2Tl2Se6 PBE optimized geometry
data_LiZr2Tl2Se6
_symmetry_space_group_name_H-M 'C 1 2/m 1'
_symmetry_Int_Tables_number 12
_symmetry_space_group_name_Hall '-C 2y'
_cell_length_a 6.794
_cell_length_b 11.843
_cell_length_c 7.894
_cell_angle_alpha 90.00
_cell_angle_beta 106.78
_cell_angle_gamma 90.00
loop_
_atom_site_label
_atom_site_type_symbol
_atom_site_fract_x
_atom_site_fract_y
_atom_site_fract_z
_atom_site_occupancy
Li1 Li 0.000 0.000 0.000 1
Zr1 Zr 0.000 0.333 0.000 1
Tl1 Tl 0.000 0.164 0.500 1
Se1 Se 0.225 0.500 0.198 1
Se2 Se 0.239 0.173 0.204 1
# - total DFT energy (no corrections) (eV per atom) = -5.05
# - density (g/cm³) = 5.854
# - DOS at the Fermi energy (states/eV/atom) = 0.450

# LiZrTlSe3 PBE optimized geometry
data_LiZrTlSe3
_symmetry_space_group_name_H-M 'P 1 21/m 1'
_symmetry_Int_Tables_number 11
_symmetry_space_group_name_Hall '-P 2yb'
_cell_length_a 8.871
_cell_length_b 3.968
_cell_length_c 9.427
_cell_angle_alpha 90.00
_cell_angle_beta 107.97
_cell_angle_gamma 90.00
loop_
_atom_site_label
_atom_site_type_symbol
_atom_site_fract_x
_atom_site_fract_y
_atom_site_fract_z
_atom_site_occupancy
Li1 Li 0.075 0.250 0.103 1
Zr1 Zr 0.322 0.750 0.343 1
Tl1 Tl 0.211 0.250 0.759 1
Se1 Se 0.128 0.250 0.380 1
Se2 Se 0.223 0.750 0.050 1
Se3 Se 0.461 0.750 0.653 1
# - total DFT energy (no corrections) (eV per atom) = -4.97
# - density (g/cm³) = 5.675

# Li2ZrTl2Se4 PBE optimized geometry
data_Li2ZrTl2Se4
_symmetry_space_group_name_H-M 'C 1 2/m 1'
_symmetry_Int_Tables_number 12
_symmetry_space_group_name_Hall '-C 2y'
_cell_length_a 15.143
_cell_length_b 4.047
_cell_length_c 7.776
_cell_angle_alpha 90.00
_cell_angle_beta 110.32
_cell_angle_gamma 90.00
loop_
_atom_site_label
_atom_site_type_symbol
_atom_site_fract_x
_atom_site_fract_y
_atom_site_fract_z
_atom_site_occupancy
Li1 Li 0.180 0.000 0.480 1
Zr1 Zr 0.000 0.500 0.500 1
Tl1 Tl 0.140 0.500 0.061 1
Se1 Se 0.012 0.000 0.269 1
Se2 Se 0.191 0.500 0.677 1
# - total DFT energy (no corrections) (eV per atom) = -4.44
# - density (g/cm³) = 6.167

# LiZr2Tl3Se6 PBE optimized geometry
data_LiZr2Tl3Se6
_symmetry_space_group_name_H-M 'C 1 2/m 1'
_symmetry_Int_Tables_number 12
_symmetry_space_group_name_Hall '-C 2y'
_cell_length_a 6.910
_cell_length_b 11.972
_cell_length_c 8.031
_cell_angle_alpha 90.00
_cell_angle_beta 106.41
_cell_angle_gamma 90.00
loop_
_atom_site_label
_atom_site_type_symbol
_atom_site_fract_x
_atom_site_fract_y
_atom_site_fract_z
_atom_site_occupancy
Li1 Li 0.000 0.000 0.000 1
Zr1 Zr 0.000 0.333 0.000 1
Tl1 Tl 0.000 0.162 0.500 1
Tl2 Tl 0.000 0.500 0.500 1
Se1 Se 0.220 0.500 0.193 1
Se2 Se 0.241 0.174 0.201 1
# - total DFT energy (no corrections) (eV per atom) = -4.91
# - density (g/cm³) = 6.650

# LiZr3Tl3Se8 PBE optimized geometry
data_LiZr3Tl3Se8
_symmetry_space_group_name_H-M 'R -3 m'
_symmetry_Int_Tables_number 166
_symmetry_space_group_name_Hall '-R 3 2"'
_cell_length_a 7.8441
_cell_length_b 7.8441
_cell_length_c 23.2971
_cell_angle_alpha 90.00
_cell_angle_beta 90.00
_cell_angle_gamma 120.00
loop_
_atom_site_label
_atom_site_type_symbol
_atom_site_fract_x
_atom_site_fract_y
_atom_site_fract_z
_atom_site_occupancy
Li1 Li 0.0000 0.0000 0.0000 1
Zr1 Zr 0.0000 0.5000 0.0000 1
Tl1 Tl 0.0000 0.5000 0.5000 1
Se1 Se 0.0000 0.0000 0.2656 1
Se2 Se 0.0094 0.5047 0.2684 1
# - total DFT energy (no corrections) (eV per atom) = -5.19
# - density (g/cm³) = 6.122

# LiTm3Se4 PBE optimized geometry
data_LiTm3Se4
_symmetry_space_group_name_H-M 'P m m n'
_symmetry_Int_Tables_number 59
_cell_length_a 5.634
_cell_length_b 9.126
_cell_length_c 8.233
_cell_angle_alpha 90.00
_cell_angle_beta 90.00
_cell_angle_gamma 90.00
loop_
_symmetry_equiv_pos_as_xyz
'x,y,z'
'-x,-y,-z'
'-x+1/2,-y+1/2,z'
'x+1/2,y+1/2,-z'
'x+1/2,-y,-z'
'-x+1/2,y,z'
'-x,y+1/2,-z'
'x,-y+1/2,z'
loop_
_atom_site_label
_atom_site_type_symbol
_atom_site_fract_x
_atom_site_fract_y
_atom_site_fract_z
_atom_site_occupancy
Li1 Li 0.250 0.250 0.105 1
Tm1 Tm 0.250 0.540 0.660 1
Tm2 Tm 0.250 0.750 0.247 1
Se1 Se 0.250 0.045 0.333 1
Se2 Se 0.250 0.250 0.781 1
Se3 Se 0.250 0.750 0.905 1
# - total DFT energy (no corrections) (eV per atom) = -5.20
# - distance to the lowest polymorph of the same formula (eV per atom) = 0.1621
# - density (g/cm³) = 6.508
# - DOS at the Fermi energy (states/eV/atom) = 0.351

# Li3TmSe3 PBE optimized geometry
data_Li3TmSe3
_symmetry_space_group_name_H-M 'R -3'
_symmetry_Int_Tables_number 148
_symmetry_space_group_name_Hall '-R 3'
_cell_length_a 7.2949
_cell_length_b 7.2949
_cell_length_c 20.0217
_cell_angle_alpha 90.00
_cell_angle_beta 90.00
_cell_angle_gamma 120.00
loop_
_atom_site_label
_atom_site_type_symbol
_atom_site_fract_x
_atom_site_fract_y
_atom_site_fract_z
_atom_site_occupancy
Li1 Li 0.0090 0.7030 0.1205 1
Tm1 Tm 0.0000 0.0000 0.3339 1
Se1 Se 0.0044 0.6395 0.9182 1
# - total DFT energy (no corrections) (eV per atom) = -4.44
# - density (g/cm³) = 4.607
# - DOS at the Fermi energy (states/eV/atom) = 0.000

# LiTm5Se6 PBE optimized geometry
data_LiTm5Se6
_symmetry_space_group_name_H-M 'C 1 2/m 1'
_symmetry_Int_Tables_number 12
_symmetry_space_group_name_Hall '-C 2y'
_cell_length_a 6.918
_cell_length_b 11.974
_cell_length_c 6.938
_cell_angle_alpha 90.00
_cell_angle_beta 109.45
_cell_angle_gamma 90.00
loop_
_atom_site_label
_atom_site_type_symbol
_atom_site_fract_x
_atom_site_fract_y
_atom_site_fract_z
_atom_site_occupancy
Li1 Li 0.000 0.000 0.000 1
Tm1 Tm 0.000 0.167 0.500 1
Tm2 Tm 0.000 0.335 0.000 1
Tm3 Tm 0.000 0.500 0.500 1
Se1 Se 0.242 0.000 0.757 1
Se2 Se 0.244 0.163 0.246 1
# - total DFT energy (no corrections) (eV per atom) = -5.45
# - density (g/cm³) = 8.122
# - DOS at the Fermi energy (states/eV/atom) = 0.362

# LiTm4Se6 PBE optimized geometry
data_LiTm4Se6
_symmetry_space_group_name_H-M 'R -3 c'
_symmetry_Int_Tables_number 167
_symmetry_space_group_name_Hall '-R 3 2"c'
_cell_length_a 11.2872
_cell_length_b 11.2872
_cell_length_c 13.3345
_cell_angle_alpha 90.00
_cell_angle_beta 90.00
_cell_angle_gamma 120.00
loop_
_atom_site_label
_atom_site_type_symbol
_atom_site_fract_x
_atom_site_fract_y
_atom_site_fract_z
_atom_site_occupancy
Li1 Li 0.0000 0.0000 0.0000 1
Tm1 Tm 0.0000 0.0000 0.2500 1
Tm2 Tm 0.0000 0.3901 0.2500 1
Se1 Se 0.0287 0.2027 0.3854 1
# - total DFT energy (no corrections) (eV per atom) = -5.32
# - density (g/cm³) = 7.831
# - DOS at the Fermi energy (states/eV/atom) = 0.470

# LiTmSe PBE optimized geometry
data_LiTmSe
_symmetry_space_group_name_H-M 'P -6 m 2'
_symmetry_Int_Tables_number 187
_symmetry_space_group_name_Hall 'P -6 2'
_cell_length_a 4.0779
_cell_length_b 4.0779
_cell_length_c 3.8694
_cell_angle_alpha 90.00
_cell_angle_beta 90.00
_cell_angle_gamma 120.00
loop_
_atom_site_label
_atom_site_type_symbol
_atom_site_fract_x
_atom_site_fract_y
_atom_site_fract_z
_atom_site_occupancy
Li1 Li 0.0000 0.0000 0.0000 1
Tm1 Tm 0.6667 0.3333 0.5000 1
Se1 Se 0.3333 0.6667 0.0000 1
# - total DFT energy (no corrections) (eV per atom) = -4.28
# - distance to the lowest polymorph of the same formula (eV per atom) = 0.0000
# - density (g/cm³) = 7.594
# - DOS at the Fermi energy (states/eV/atom) = 0.054

# LiTmSe2 PBE optimized geometry
data_LiTmSe2
_symmetry_space_group_name_H-M 'R 3 m'
_symmetry_Int_Tables_number 160
_symmetry_space_group_name_Hall 'R 3 -2"'
_cell_length_a 3.9130
_cell_length_b 3.9130
_cell_length_c 20.4990
_cell_angle_alpha 90.00
_cell_angle_beta 90.00
_cell_angle_gamma 120.00
loop_
_atom_site_label
_atom_site_type_symbol
_atom_site_fract_x
_atom_site_fract_y
_atom_site_fract_z
_atom_site_occupancy
Li1 Li 0.0000 0.0000 0.0000 1
Tm1 Tm 0.0000 0.0000 0.8293 1
Se1 Se 0.0000 0.0000 0.4106 1
Se2 Se 0.0000 0.0000 0.5811 1
# - total DFT energy (no corrections) (eV per atom) = -4.92
# - density (g/cm³) = 6.118

# LiTm3Se4 PBE optimized geometry
data_LiTm3Se4
_symmetry_space_group_name_H-M 'I 4/m m m'
_symmetry_Int_Tables_number 139
_symmetry_space_group_name_Hall '-I 4 2'
_cell_length_a 5.649
_cell_length_b 5.649
_cell_length_c 11.298
_cell_angle_alpha 90.00
_cell_angle_beta 90.00
_cell_angle_gamma 90.00
loop_
_atom_site_label
_atom_site_type_symbol
_atom_site_fract_x
_atom_site_fract_y
_atom_site_fract_z
_atom_site_occupancy
Li1 Li 0.000 0.000 0.000 1
Tm1 Tm 0.000 0.000 0.500 1
Tm2 Tm 0.000 0.500 0.250 1
Se1 Se 0.000 0.000 0.244 1
Se2 Se 0.000 0.500 0.000 1
# - total DFT energy (no corrections) (eV per atom) = -5.36
# - distance to the lowest polymorph of the same formula (eV per atom) = 0.0000
# - density (g/cm³) = 7.643
# - DOS at the Fermi energy (states/eV/atom) = 0.233

# LiTmSe PBE optimized geometry
data_LiTmSe
_symmetry_space_group_name_H-M 'P 4/n m m'
_symmetry_Int_Tables_number 129
_cell_length_a 4.310
_cell_length_b 4.310
_cell_length_c 7.269
_cell_angle_alpha 90.00
_cell_angle_beta 90.00
_cell_angle_gamma 90.00
loop_
_symmetry_equiv_pos_as_xyz
'x,y,z'
'-x,-y,-z'
'-y+1/2,x,z'
'y+1/2,-x,-z'
'-x+1/2,-y+1/2,z'
'x+1/2,y+1/2,-z'
'y,-x+1/2,z'
'-y,x+1/2,-z'
'x+1/2,-y,-z'
'-x+1/2,y,z'
'-y,-x,-z'
'y,x,z'
'-x,y+1/2,-z'
'x,-y+1/2,z'
'y+1/2,x+1/2,-z'
'-y+1/2,-x+1/2,z'
loop_
_atom_site_label
_atom_site_type_symbol
_atom_site_fract_x
_atom_site_fract_y
_atom_site_fract_z
_atom_site_occupancy
Li1 Li 0.250 0.250 0.142 1
Tm1 Tm 0.250 0.750 0.500 1
Se1 Se 0.250 0.250 0.786 1
# - total DFT energy (no corrections) (eV per atom) = -4.12
# - distance to the lowest polymorph of the same formula (eV per atom) = 0.1609
# - density (g/cm³) = 6.267
# - DOS at the Fermi energy (states/eV/atom) = 0.834

# LiTm2USe4 PBE optimized geometry
data_LiTm2USe4
_symmetry_space_group_name_H-M 'P 1 2/m 1'
_symmetry_Int_Tables_number 10
_symmetry_space_group_name_Hall '-P 2y'
_cell_length_a 6.985
_cell_length_b 3.990
_cell_length_c 7.017
_cell_angle_alpha 90.00
_cell_angle_beta 109.06
_cell_angle_gamma 90.00
loop_
_atom_site_label
_atom_site_type_symbol
_atom_site_fract_x
_atom_site_fract_y
_atom_site_fract_z
_atom_site_occupancy
Li1 Li 0.000 0.000 0.000 1
Tm1 Tm 0.500 0.000 0.500 1
Tm2 Tm 0.500 0.500 0.000 1
U1 U 0.000 0.500 0.500 1
Se1 Se 0.249 0.500 0.243 1
Se2 Se 0.253 0.000 0.760 1
# - total DFT energy (no corrections) (eV per atom) = -5.99
# - density (g/cm³) = 8.074
# - DOS at the Fermi energy (states/eV/atom) = 0.769

# LiTmU2Se5 PBE optimized geometry
data_LiTmU2Se5
_symmetry_space_group_name_H-M 'C m c 21'
_symmetry_Int_Tables_number 36
_symmetry_space_group_name_Hall 'C 2c -2'
_cell_length_a 3.997
_cell_length_b 17.073
_cell_length_c 12.327
_cell_angle_alpha 90.00
_cell_angle_beta 90.00
_cell_angle_gamma 90.00
loop_
_atom_site_label
_atom_site_type_symbol
_atom_site_fract_x
_atom_site_fract_y
_atom_site_fract_z
_atom_site_occupancy
Li1 Li 0.000 0.016 0.000 1
Tm1 Tm 0.000 0.302 0.524 1
U1 U 0.000 0.372 0.821 1
U2 U 0.000 0.393 0.204 1
Se1 Se 0.000 0.002 0.304 1
Se2 Se 0.000 0.137 0.520 1
Se3 Se 0.000 0.190 0.865 1
Se4 Se 0.000 0.215 0.186 1
Se5 Se 0.000 0.452 0.597 1
# - total DFT energy (no corrections) (eV per atom) = -6.44
# - density (g/cm³) = 8.264
# - DOS at the Fermi energy (states/eV/atom) = 1.413

# LiTmU2Se4 PBE optimized geometry
data_LiTmU2Se4
_symmetry_space_group_name_H-M 'P 1 2/m 1'
_symmetry_Int_Tables_number 10
_symmetry_space_group_name_Hall '-P 2y'
_cell_length_a 6.785
_cell_length_b 3.928
_cell_length_c 7.279
_cell_angle_alpha 90.00
_cell_angle_beta 108.16
_cell_angle_gamma 90.00
loop_
_atom_site_label
_atom_site_type_symbol
_atom_site_fract_x
_atom_site_fract_y
_atom_site_fract_z
_atom_site_occupancy
Li1 Li 0.000 0.000 0.000 1
Tm1 Tm 0.500 0.500 0.000 1
U1 U 0.000 0.500 0.500 1
U2 U 0.500 0.000 0.500 1
Se1 Se 0.239 0.500 0.233 1
Se2 Se 0.248 0.000 0.765 1
# - total DFT energy (no corrections) (eV per atom) = -6.64
# - density (g/cm³) = 8.718
# - DOS at the Fermi energy (states/eV/atom) = 1.103

# Li4TmU3Se8 PBE optimized geometry
data_Li4TmU3Se8
_symmetry_space_group_name_H-M 'R -3 m'
_symmetry_Int_Tables_number 166
_symmetry_space_group_name_Hall '-R 3 2"'
_cell_length_a 8.0481
_cell_length_b 8.0481
_cell_length_c 19.7624
_cell_angle_alpha 90.00
_cell_angle_beta 90.00
_cell_angle_gamma 120.00
loop_
_atom_site_label
_atom_site_type_symbol
_atom_site_fract_x
_atom_site_fract_y
_atom_site_fract_z
_atom_site_occupancy
Li1 Li 0.0000 0.0000 0.0000 1
Li2 Li 0.0000 0.5000 0.0000 1
Tm1 Tm 0.0000 0.0000 0.5000 1
U1 U 0.0000 0.5000 0.5000 1
Se1 Se 0.0000 0.0000 0.2539 1
Se2 Se 0.0050 0.5025 0.2524 1
# - total DFT energy (no corrections) (eV per atom) = -5.91
# - density (g/cm³) = 6.931
# - DOS at the Fermi energy (states/eV/atom) = 0.872